Record 1
An optimized crystal structure of Ti7Br16. Source: Alexandria, functional GGA-PBEsol.

abc: 7.1088 10.4016 14.9174
angles: 90.00 90.00 90.00
Last column: nearest neighbours and their distance in Å.
Positions (direct):
1 Br 0.2515 0.0071 0.8700  3 Ti 2.64-2.73
2 Ti 0.0000 0.0419 0.7360  5 Br 2.47-2.71
3 Ti 0.2979 0.7466 0.8620  6 Br 2.48-2.77
4 Br 0.0000 0.7545 0.9817  3 Ti 2.57-2.77
5 Br 0.7485 0.9929 0.1300  3 Ti 2.64-2.73
6 Br 0.2494 0.5117 0.8771  2 Ti 2.47-2.48
7 Ti 0.7979 0.2466 0.6380  6 Br 2.48-2.77
8 Br 0.0000 0.7742 0.7500  3 Ti 2.71-2.79
9 Ti 0.7021 0.2534 0.1380  6 Br 2.48-2.77
10 Ti 0.0000 0.0000 0.0000  6 Br 2.57-2.64
11 Br 0.7515 0.4929 0.3700  3 Ti 2.64-2.73
12 Br 0.7485 0.0071 0.8700  3 Ti 2.64-2.73
13 Ti 0.7021 0.7466 0.8620  6 Br 2.48-2.77
14 Br 0.2506 0.0117 0.6229  2 Ti 2.47-2.48
15 Br 0.0000 0.7253 0.2256  3 Ti 2.49-2.51
16 Br 0.5000 0.7590 0.9969  2 Ti 2.48
17 Ti 0.5000 0.4581 0.2360  5 Br 2.47-2.71
18 Br 0.5000 0.7747 0.7256  3 Ti 2.49-2.51
19 Br 0.0000 0.2455 0.0183  3 Ti 2.57-2.77
20 Br 0.2494 0.4883 0.1229  2 Ti 2.47-2.48
21 Br 0.7506 0.4883 0.1229  2 Ti 2.47-2.48
22 Br 0.2485 0.4929 0.3700  3 Ti 2.64-2.73
23 Ti 0.2021 0.7534 0.3620  6 Br 2.48-2.77
24 Ti 0.7979 0.7534 0.3620  6 Br 2.48-2.77
25 Br 0.0000 0.2747 0.7744  3 Ti 2.49-2.51
26 Br 0.5000 0.7455 0.4817  3 Ti 2.57-2.77
27 Br 0.7494 0.0117 0.6229  2 Ti 2.47-2.48
28 Ti 0.2021 0.2466 0.6380  6 Br 2.48-2.77
29 Br 0.7515 0.5071 0.6300  3 Ti 2.64-2.73
30 Br 0.2506 0.9883 0.3771  2 Ti 2.47-2.48
31 Br 0.2485 0.5071 0.6300  3 Ti 2.64-2.73
32 Br 0.2515 0.9929 0.1300  3 Ti 2.64-2.73
33 Br 0.5000 0.2253 0.2744  3 Ti 2.49-2.51
34 Ti 0.5000 0.5419 0.7640  5 Br 2.47-2.71
35 Br 0.7506 0.5117 0.8771  2 Ti 2.47-2.48
36 Ti 0.5000 0.5000 0.5000  6 Br 2.57-2.64
37 Br 0.5000 0.7258 0.2500  3 Ti 2.71-2.79
38 Br 0.0000 0.2590 0.5031  2 Ti 2.48
39 Br 0.0000 0.2258 0.2500  3 Ti 2.71-2.79
40 Ti 0.2979 0.2534 0.1380  6 Br 2.48-2.77
41 Br 0.5000 0.2742 0.7500  3 Ti 2.71-2.79
42 Ti 0.0000 0.9581 0.2640  5 Br 2.47-2.71
43 Br 0.5000 0.2545 0.5183  3 Ti 2.57-2.77
44 Br 0.7494 0.9883 0.3771  2 Ti 2.47-2.48
45 Br 0.5000 0.2410 0.0031  2 Ti 2.48
46 Br 0.0000 0.7410 0.4969  2 Ti 2.48

Values from the calculation:
Space-group type: Pnnm, No. 58


Record 2
An optimized crystal structure of Al2RhBr. Source: Alexandria, functional GGA-PBEsol.

abc: 4.0410 4.0410 5.0188
angles: 113.74 113.74 90.00
Last column: nearest neighbours and their distance in Å.
Positions (direct):
1 Rh 0.2500 0.7500 0.5000  8 Al 2.86-2.89, 4 Br 2.89
2 Br 0.5000 0.5000 0.0000  8 Al 2.86-2.89, 4 Rh 2.89
3 Al 0.7500 0.2500 0.5000  4 Rh 2.86, 4 Br 2.89, 4 Al 2.89
4 Al 0.0000 0.0000 0.0000  4 Br 2.86, 4 Al 2.89, 4 Rh 2.89

Values from the calculation:
Space-group type: I-4m2, No. 119


Record 3
An optimized crystal structure of BaNa2FeAu. Source: Alexandria, functional GGA-PBEsol.

abc: 5.2995 5.2995 5.6532
angles: 90.00 90.00 90.00
Last column: nearest neighbours and their distance in Å.
Positions (direct):
1 Na 0.0000 0.5000 0.0000  2 Fe 2.65
2 Fe 0.0000 0.0000 0.0000  4 Na 2.65, 2 Ba 2.83
3 Au 0.5000 0.5000 0.5000  4 Ba 3.75, 8 Na 3.87
4 Ba 0.0000 0.0000 0.5000  2 Fe 2.83
5 Na 0.5000 0.0000 0.0000  2 Fe 2.65

Values from the calculation:
Space-group type: P4/mmm, No. 123
Energy of formation, eV/atom: 0.735


Computed magnetic moment, in the same sequence as the records: 4.20, 0.00, 2.12 μB/cell.
Computed raw total energy, in the same sequence as the records: -5.00, -4.28, -2.83 eV per atom.